{
  "formula": "In2Te2Cl",
  "functional": "GGA-PBEsol",
  "state": "optimized geometry",
  "lattice": [[-2.550, 2.550, 5.608], [2.550, -2.550, 5.608], [2.550, 2.550, -5.608]],
  "species": ["In", "In", "Te", "Te", "Cl"],
  "frac_coords": [[0.120, 0.120, 0.000], [0.880, 0.880, 0.000], [0.250, 0.750, 0.500], [0.750, 0.250, 0.500], [0.500, 0.500, 0.000]],
  "e_form_raw_mev_per_atom": -237.3,
  "m_tot_mub_per_cell": 0.0
}